No. 1
# meta-GGA SCAN Pm2AgRu, single point on PBEsol structure
# crystal system: cubic
# total energy: -621.515 eV per cell
data_Pm2AgRu
_cell_length_a 7.0653
_cell_length_b 7.0653
_cell_length_c 7.0653
_cell_angle_alpha 90.00
_cell_angle_beta 90.00
_cell_angle_gamma 90.00
_space_group_name_H-M_alt 'F m -3 m'
_space_group_IT_number 225
_space_group_name_Hall '-F 4 2 3'
loop_
_atom_site_label
_atom_site_fract_x
_atom_site_fract_y
_atom_site_fract_z
Pm1 0.2500 0.2500 0.2500
Ag1 0.0000 0.0000 0.0000
Ru1 0.0000 0.0000 0.5000

---

No. 2
# meta-GGA SCAN CaInAs2, single point on PBEsol structure
# crystal system: tetragonal
# total energy: -170.086 eV per cell
data_CaInAs2
_cell_length_a 4.1080
_cell_length_b 4.1080
_cell_length_c 10.3342
_cell_angle_alpha 90.00
_cell_angle_beta 90.00
_cell_angle_gamma 90.00
_space_group_name_H-M_alt 'I -4 m 2'
_space_group_IT_number 119
_space_group_name_Hall 'I -4 -2'
loop_
_atom_site_label
_atom_site_fract_x
_atom_site_fract_y
_atom_site_fract_z
Ca1 0.0000 0.0000 0.0000
In1 0.0000 0.5000 0.2500
As1 0.0000 0.0000 0.5000
As2 0.0000 0.5000 0.7500

---

No. 3
# meta-GGA SCAN Sr2IrBr, single point on PBEsol structure
# energy relative to the lowest polymorph listed for this composition: 90 meV per atom
# uncorrected formation energy: -277 kJ/mol of formula units
# crystal system: cubic
# total energy: -551.915 eV per cell
data_Sr2IrBr
_cell_length_a 7.3603
_cell_length_b 7.3603
_cell_length_c 7.3603
_cell_angle_alpha 90.00
_cell_angle_beta 90.00
_cell_angle_gamma 90.00
_space_group_name_H-M_alt 'F m -3 m'
_space_group_IT_number 225
_space_group_name_Hall '-F 4 2 3'
loop_
_atom_site_label
_atom_site_fract_x
_atom_site_fract_y
_atom_site_fract_z
Sr1 0.2500 0.2500 0.2500
Ir1 0.0000 0.0000 0.0000
Br1 0.0000 0.0000 0.5000

---

No. 4
# meta-GGA SCAN RbNb2BRh, single point on PBEsol structure
# crystal system: tetragonal
# total energy: -121.798 eV per cell
data_RbNb2BRh
_cell_length_a 4.3149
_cell_length_b 4.3149
_cell_length_c 5.2464
_cell_angle_alpha 90.00
_cell_angle_beta 90.00
_cell_angle_gamma 90.00
_space_group_name_H-M_alt 'P 4/m m m'
_space_group_IT_number 123
_space_group_name_Hall '-P 4 2'
loop_
_atom_site_label
_atom_site_fract_x
_atom_site_fract_y
_atom_site_fract_z
Rb1 0.0000 0.0000 0.0000
Nb1 0.0000 0.5000 0.5000
B1 0.0000 0.0000 0.5000
Rh1 0.5000 0.5000 0.0000

---

No. 5
# meta-GGA SCAN MgTlBr3, single point on PBEsol structure
# uncorrected formation energy: -637 kJ/mol of formula units
# crystal system: cubic
# total energy: -142.311 eV per cell
data_MgTlBr3
_cell_length_a 5.2338
_cell_length_b 5.2338
_cell_length_c 5.2338
_cell_angle_alpha 90.00
_cell_angle_beta 90.00
_cell_angle_gamma 90.00
_space_group_name_H-M_alt 'P m -3 m'
_space_group_IT_number 221
_space_group_name_Hall '-P 4 2 3'
loop_
_atom_site_label
_atom_site_fract_x
_atom_site_fract_y
_atom_site_fract_z
Mg1 0.0000 0.0000 0.0000
Tl1 0.5000 0.5000 0.5000
Br1 0.0000 0.0000 0.5000

---

No. 6
# meta-GGA SCAN Ba2ZrRh, single point on PBEsol structure
# energy relative to the lowest polymorph listed for this composition: 0 meV per atom
# crystal system: tetragonal
# total energy: -141.818 eV per cell
data_Ba2ZrRh
_cell_length_a 3.4963
_cell_length_b 3.4963
_cell_length_c 9.7399
_cell_angle_alpha 90.00
_cell_angle_beta 90.00
_cell_angle_gamma 90.00
_space_group_name_H-M_alt 'P 4/m m m'
_space_group_IT_number 123
_space_group_name_Hall '-P 4 2'
loop_
_atom_site_label
_atom_site_fract_x
_atom_site_fract_y
_atom_site_fract_z
Ba1 0.0000 0.0000 0.1994
Zr1 0.5000 0.5000 0.5000
Rh1 0.5000 0.5000 0.0000

---

No. 7
# meta-GGA SCAN AlZn2Os, single point on PBEsol structure
# crystal system: cubic
# total energy: -427.736 eV per cell
data_AlZn2Os
_cell_length_a 6.0304
_cell_length_b 6.0304
_cell_length_c 6.0304
_cell_angle_alpha 90.00
_cell_angle_beta 90.00
_cell_angle_gamma 90.00
_space_group_name_H-M_alt 'F -4 3 m'
_space_group_IT_number 216
_space_group_name_Hall 'F -4 2 3'
loop_
_atom_site_label
_atom_site_fract_x
_atom_site_fract_y
_atom_site_fract_z
Al1 0.0000 0.0000 0.0000
Zn1 0.0000 0.0000 0.5000
Zn2 0.2500 0.2500 0.7500
Os1 0.2500 0.2500 0.2500

---

No. 8
# meta-GGA SCAN ScCuF3, single point on PBEsol structure
# uncorrected formation energy: -889 kJ/mol of formula units
# crystal system: cubic
# total energy: -49.269 eV per cell
data_ScCuF3
_cell_length_a 4.0047
_cell_length_b 4.0047
_cell_length_c 4.0047
_cell_angle_alpha 90.00
_cell_angle_beta 90.00
_cell_angle_gamma 90.00
_space_group_name_H-M_alt 'P m -3 m'
_space_group_IT_number 221
_space_group_name_Hall '-P 4 2 3'
loop_
_atom_site_label
_atom_site_fract_x
_atom_site_fract_y
_atom_site_fract_z
Sc1 0.0000 0.0000 0.0000
Cu1 0.5000 0.5000 0.5000
F1 0.0000 0.5000 0.5000

---

No. 9
# meta-GGA SCAN LaRu2Pt, single point on PBEsol structure
# energy relative to the lowest polymorph listed for this composition: 210 meV per atom
# crystal system: monoclinic
# total energy: -182.208 eV per cell
data_LaRu2Pt
_cell_length_a 2.8667
_cell_length_b 4.6518
_cell_length_c 5.2815
_cell_angle_alpha 90.00
_cell_angle_beta 97.13
_cell_angle_gamma 90.00
_space_group_name_H-M_alt 'P 1 2/m 1'
_space_group_IT_number 10
_space_group_name_Hall '-P 2y'
loop_
_atom_site_label
_atom_site_fract_x
_atom_site_fract_y
_atom_site_fract_z
La1 0.0000 0.0000 0.0000
Ru1 0.2993 0.5000 0.7073
Pt1 0.5000 0.0000 0.5000

---

No. 10
# meta-GGA SCAN Nb6SiSn, single point on PBEsol structure
# uncorrected formation energy: -228 kJ/mol of formula units
# crystal system: cubic
# total energy: -247.082 eV per cell
data_Nb6SiSn
_cell_length_a 5.1777
_cell_length_b 5.1777
_cell_length_c 5.1777
_cell_angle_alpha 90.00
_cell_angle_beta 90.00
_cell_angle_gamma 90.00
_space_group_name_H-M_alt 'P m -3'
_space_group_IT_number 200
_space_group_name_Hall '-P 2 2 3'
loop_
_atom_site_label
_atom_site_fract_x
_atom_site_fract_y
_atom_site_fract_z
Nb1 0.0000 0.2582 0.5000
Si1 0.5000 0.5000 0.5000
Sn1 0.0000 0.0000 0.0000

---

No. 11
# meta-GGA SCAN TcMoPt2, single point on PBEsol structure
# energy relative to the lowest polymorph listed for this composition: 0 meV per atom
# crystal system: orthorhombic
# total energy: -211.710 eV per cell
data_TcMoPt2
_cell_length_a 2.7154
_cell_length_b 4.4181
_cell_length_c 4.8582
_cell_angle_alpha 90.00
_cell_angle_beta 90.00
_cell_angle_gamma 90.00
_space_group_name_H-M_alt 'P m m 2'
_space_group_IT_number 25
_space_group_name_Hall 'P 2 -2'
loop_
_atom_site_label
_atom_site_fract_x
_atom_site_fract_y
_atom_site_fract_z
Tc1 0.0000 0.0000 0.0000
Mo1 0.0000 0.5000 0.6828
Pt1 0.5000 0.0000 0.5024
Pt2 0.5000 0.5000 0.1764

---

No. 12
# meta-GGA SCAN ZrBrCl2, single point on PBEsol structure
# energy relative to the lowest polymorph listed for this composition: 1149 meV per atom
# uncorrected formation energy: -229 kJ/mol of formula units
# crystal system: orthorhombic
# total energy: -68.487 eV per cell
data_ZrBrCl2
_cell_length_a 3.7118
_cell_length_b 4.5781
_cell_length_c 4.6224
_cell_angle_alpha 90.00
_cell_angle_beta 90.00
_cell_angle_gamma 90.00
_space_group_name_H-M_alt 'P m m m'
_space_group_IT_number 47
_space_group_name_Hall '-P 2 2'
loop_
_atom_site_label
_atom_site_fract_x
_atom_site_fract_y
_atom_site_fract_z
Zr1 0.0000 0.0000 0.0000
Br1 0.5000 0.5000 0.0000
Cl1 0.0000 0.5000 0.5000
Cl2 0.5000 0.0000 0.5000